VASP calculation (PBE with a Hubbard U) on a relaxed LaMn3V4O12 crystal.

Values from the calculation:
- Space group: C2/m
- M_tot: 0.100 μB/atom
- Calculated total energy: -7.937 eV per atom

Cell lengths 6.5991, 6.5991, 7.5058 Å; angles 55.43, 55.43, 69.52 degrees
Last column: magnetic moment on the atom in μB.
Atoms (fractional coordinates):
Mn 0.0000 0.0000 0.5000  4.57
O 0.6955 0.3191 0.1726  0.02
La 0.0000 0.0000 0.0000  0.01
V 0.0000 0.5000 0.5000  1.87
O 0.8940 0.5148 0.2882  -0.04
V 0.0000 0.5000 0.0000  1.10
O 0.1776 0.1776 0.1107  -0.01
Mn 0.5000 0.5000 0.0000  -3.89
O 0.3191 0.6955 0.1726  0.02
O 0.8221 0.8221 0.4697  -0.02
V 0.5000 0.0000 0.5000  1.87
O 0.1779 0.1779 0.5303  -0.02
O 0.1060 0.4852 0.7118  -0.04
V 0.5000 0.0000 0.0000  1.10
Mn 0.5000 0.5000 0.5000  -4.62
O 0.8224 0.8224 0.8893  -0.01
O 0.4852 0.1060 0.7118  -0.04
O 0.5148 0.8940 0.2882  -0.04
O 0.3045 0.6809 0.8274  0.02
O 0.6809 0.3045 0.8274  0.02